Entry from the Alexandria database: crystalline Mg4Cu2Hg5 at its relaxed geometry (PBE). Values from VASP.

Values from the calculation:
energy = -1.59 eV per atom
energy relative to the elements = -2.9 kcal/mol of atoms

```
&SYSTEM
  ibrav = 0, nat = 11, ntyp = 3
/
ATOMIC_SPECIES
Hg 200.59 Hg.upf
Cu 63.55 Cu.upf
Mg 24.30 Mg.upf
CELL_PARAMETERS angstrom
3.256 0.000 0.000
0.000 7.443 -0.360
0.000 0.243 9.184
ATOMIC_POSITIONS angstrom
Hg 0.000 3.722 -0.180
Hg 0.000 3.428 5.927
Hg 0.000 6.530 7.574
Hg 0.000 1.156 1.250
Hg 0.000 4.259 2.897
Cu 0.000 7.028 3.104
Cu 0.000 0.658 5.720
Mg 1.628 5.889 5.014
Mg 1.628 1.620 7.790
Mg 1.628 1.797 3.809
Mg 1.628 6.066 1.034
```